Material: Ag3N
Method: DFT, GGA-PBE
State: relaxed

The structure belongs to space group P6/mmm (No. 191); the cell edges are 4.5365, 4.5365 and 4.1135 Å and the angles 90.00°, 90.00° and 120.00°. The distinct sites, in fractional coordinates, are Ag at (0.0000, 0.0000, 0.0000), Ag at (0.3333, 0.6667, 0.5000) and N at (0.0000, 0.0000, 0.5000).

As for the calculated volume: 73.3 Å³ per cell. The total energy is -3.281 eV/atom. The mass density comes out at 7.65 Mg/m³.